Record 1
This record from Alexandria via LeMat-Bulk describes a geometry-optimized SrCeVO4 structure. The functional is PBE with a Hubbard U.

Output
- SG: I4mm
- Crystal system: tetragonal
- E: -7.7198 eV per atom
- M_tot: 3.0 μB per cell

a b c (Å): 6.845 6.845 6.845
angles (deg): 146.68 146.68 47.83
Positions (direct):
Sr 0.000 0.000 0.000
Ce 0.714 0.714 0.000
V 0.357 0.357 0.000
O 0.189 0.189 0.000
O 0.348 0.848 0.500
O 0.535 0.535 0.000
O 0.848 0.348 0.500

Record 2
This record from Alexandria via LeMat-Bulk describes a geometry-optimized CaLaCrSnO6 structure. The functional is PBE with a Hubbard U.

Output
- SG: F-43m
- Crystal system: cubic
- Energy above the most stable polymorph in this dataset: 0.129 eV/atom
- M_tot: 3.0 μB per cell

a b c (Å): 5.649 5.649 5.649
angles (deg): 60.00 60.00 60.00
Positions (direct):
Ca 0.000 0.000 0.000
La 0.500 0.500 0.500
Cr 0.750 0.750 0.750
Sn 0.250 0.250 0.250
O 0.504 0.504 0.996
O 0.504 0.996 0.504
O 0.504 0.996 0.996
O 0.996 0.504 0.504
O 0.996 0.504 0.996
O 0.996 0.996 0.504